Record 1
Entry from the Alexandria database: an optimized crystal structure of SrC2Cl (PBE).

```
4
Lattice="0.000 3.235 3.235 3.235 0.000 3.235 3.235 3.235 0.000" Properties=species:S:1:pos:R:3 pbc="T T T"
Sr 3.235 3.235 3.235
C 1.617 1.617 1.617
C 4.852 4.852 4.852
Cl 0.000 0.000 0.000
```

Summary:
Total magnetic moment (μB/atom): 0.00
DOS(E_F) (states/eV per cell): 3.6
Uncorrected formation energy (eV/atom): 2.127

Record 2
Entry from the Alexandria database: an optimized crystal structure of TaSe (PBE).

```
8
Lattice="-4.172 -0.728 3.237 2.738 -3.692 2.699 1.875 3.779 3.266" Properties=species:S:1:pos:R:3 pbc="T T T"
Ta -0.456 -1.406 1.888
Ta -1.978 0.623 4.772
Ta 2.419 -1.263 4.430
Ta -0.978 -3.014 4.048
Se 1.307 -3.078 2.811
Se -0.076 -1.235 5.831
Se 0.518 0.595 3.372
Se -2.741 -1.341 3.126
```

Summary:
Total magnetic moment (μB/atom): 0.00
DOS(E_F) (states/eV per cell): 7.3
Uncorrected formation energy (eV/atom): 0.115

Record 3
Entry from the Alexandria database: an optimized crystal structure of NiHgBr2 (PBE).

```
4
Lattice="-1.832 -0.437 -2.669 0.353 -3.235 0.288 -8.164 -0.388 5.668" Properties=species:S:1:pos:R:3 pbc="T T T"
Br -7.425 -0.353 5.155
Br -4.822 -0.229 3.348
Hg -2.780 -1.933 0.227
Ni -6.863 -2.127 3.061
```

Summary:
Total magnetic moment (μB/atom): 0.47
DOS(E_F) (states/eV per cell): 3.8
Uncorrected formation energy (eV/atom): 0.164

Record 4
Entry from the Alexandria database: an optimized crystal structure of LiSb2TeH (PBE).

```
5
Lattice="4.414 0.000 0.000 0.000 4.414 0.000 0.000 0.000 5.781" Properties=species:S:1:pos:R:3 pbc="T T T"
Sb 0.000 2.207 0.000
Sb 2.207 0.000 0.000
Te 0.000 0.000 2.891
H 0.000 0.000 0.000
Li 2.207 2.207 2.891
```

Summary:
Total magnetic moment (μB/atom): 0.00
DOS(E_F) (states/eV per cell): 2.7
Total DFT energy (no corrections) (eV per atom): -3.16

Record 5
Entry from the Alexandria database: an optimized crystal structure of Os2SO (PBE).

```
8
Lattice="-4.041 -2.796 1.010 2.048 -3.854 -2.474 1.067 -4.839 3.335" Properties=species:S:1:pos:R:3 pbc="T T T"
S 0.000 0.000 0.000
S -1.985 -5.480 1.806
Os -1.926 -3.385 1.136
Os 0.964 -4.021 -0.567
Os 0.092 -6.197 1.905
Os -0.983 -9.374 1.267
O -0.997 -3.325 -0.732
O 1.059 -6.009 0.064
```

Summary:
Total magnetic moment (μB/atom): 0.00
DOS(E_F) (states/eV per cell): 4.6
Uncorrected formation energy (eV/atom): 0.471

Record 6
Entry from the Alexandria database: an optimized crystal structure of Hg3TePt (PBE).

```
5
Lattice="-0.550 -5.552 -0.176 1.561 -0.324 5.350 -5.331 0.478 1.584" Properties=species:S:1:pos:R:3 pbc="T T T"
Te 0.000 0.000 0.000
Hg 0.780 -0.162 2.675
Hg -2.666 0.239 0.792
Hg -0.275 -2.776 -0.088
Pt -2.160 -2.699 3.379
```

Summary:
Total magnetic moment (μB/atom): 0.00
DOS(E_F) (states/eV per cell): 7.0
Uncorrected formation energy (eV/atom): 0.911

Record 7
Entry from the Alexandria database: an optimized crystal structure of CsB2Te2S6 (PBE).

```
11
Lattice="-0.978 -6.582 -2.617 7.144 -1.313 -4.131 2.653 -3.888 4.181" Properties=species:S:1:pos:R:3 pbc="T T T"
Cs 0.838 -5.235 0.782
B 7.207 -4.733 0.378
B 1.612 -7.050 -2.945
Te 3.588 -8.475 -0.404
Te 5.231 -3.308 -2.163
S 6.426 -6.278 -0.084
S 4.032 -4.239 2.486
S 6.005 -9.657 -2.899
S 4.787 -7.544 -5.053
S 2.814 -2.126 0.332
S 2.393 -5.505 -2.483
```

Summary:
Total magnetic moment (μB/atom): 0.00
DOS(E_F) (states/eV per cell): 2.7
Uncorrected formation energy (eV/atom): -0.378

Record 8
Entry from the Alexandria database: an optimized crystal structure of Y4HfP5 (PBE).

```
10
Lattice="3.909 0.000 -0.551 -0.078 3.908 -0.551 0.009 0.009 14.209" Properties=species:S:1:pos:R:3 pbc="T T T"
Y 1.545 1.576 10.962
Y 3.075 3.137 7.676
Y 0.765 0.781 5.431
Y 2.295 2.341 2.145
Hf 0.000 0.000 0.000
P 0.365 0.373 2.593
P 1.916 1.954 -0.551
P 3.475 3.545 10.514
P 1.158 1.181 8.214
P 2.683 2.737 4.893
```

Summary:
Total magnetic moment (μB/atom): 0.00
DOS(E_F) (states/eV per cell): 2.1
Total DFT energy (no corrections) (eV per atom): -7.82